(1)
# Mg2ZrRe

Mg2ZrRe after structural relaxation (PBE, the Alexandria database).

Output
- E_form (meV per atom) = 102
- polymorph energy (0 for the lowest one) (kcal/mol of atoms) = 0.00
- E (eV per atom) = -5.945

abc: 3.398 3.398 6.975
angles: 90.00 90.00 90.00
Atoms (fractional coordinates):
Mg 0.000 0.000 0.000
Mg 0.500 0.500 0.267
Zr 0.500 0.500 0.691
Re 0.000 0.000 0.502

(2)
# Zn2Sb3O8

Zn2Sb3O8 after structural relaxation (PBE, the Alexandria database).

Output
- polymorph energy (0 for the lowest one) (kcal/mol of atoms) = 0.95
- raw formation energy (kJ/mol of atoms) = -111.4
- E (eV per atom) = -5.353

abc: 6.534 6.534 9.600
angles: 90.00 90.00 120.00
Atoms (fractional coordinates):
Zn 0.333 0.667 0.000
Zn 0.333 0.667 0.366
Zn 0.667 0.333 0.500
Zn 0.667 0.333 0.866
Sb 0.165 0.330 0.703
Sb 0.165 0.835 0.703
Sb 0.330 0.165 0.203
Sb 0.670 0.835 0.703
Sb 0.835 0.165 0.203
Sb 0.835 0.670 0.203
O 0.000 0.000 0.309
O 0.000 0.000 0.809
O 0.032 0.516 0.834
O 0.167 0.333 0.103
O 0.167 0.833 0.103
O 0.333 0.167 0.603
O 0.333 0.667 0.579
O 0.484 0.516 0.834
O 0.484 0.968 0.834
O 0.516 0.032 0.334
O 0.516 0.484 0.334
O 0.667 0.333 0.079
O 0.667 0.833 0.103
O 0.833 0.167 0.603
O 0.833 0.667 0.603
O 0.968 0.484 0.334

(3)
# KLaZr2

KLaZr2 after structural relaxation (PBE, the Alexandria database).

Output
- E_form (meV per atom) = 625
- polymorph energy (0 for the lowest one) (kcal/mol of atoms) = 6.95
- E (eV per atom) = -5.156

abc: 3.165 5.840 7.796
angles: 90.00 101.38 90.00
Atoms (fractional coordinates):
K 0.000 0.000 0.000
La 0.500 0.000 0.500
Zr 0.307 0.500 0.661
Zr 0.693 0.500 0.339

(4)
# SrSc3B4O12

SrSc3B4O12 after structural relaxation (PBE, the Alexandria database).

Output
- raw formation energy (kJ/mol of atoms) = -278.1
- E (eV per atom) = -8.227

abc: 6.341 6.341 6.341
angles: 102.85 102.85 102.85
Atoms (fractional coordinates):
Sr 0.000 0.000 0.000
Sc 0.000 0.551 0.449
Sc 0.449 0.000 0.551
Sc 0.551 0.449 0.000
B 0.053 0.500 0.947
B 0.500 0.500 0.500
B 0.500 0.947 0.053
B 0.947 0.053 0.500
O 0.028 0.616 0.788
O 0.087 0.913 0.500
O 0.212 0.384 0.972
O 0.360 0.640 0.500
O 0.384 0.972 0.212
O 0.500 0.087 0.913
O 0.500 0.360 0.640
O 0.616 0.788 0.028
O 0.640 0.500 0.360
O 0.788 0.028 0.616
O 0.913 0.500 0.087
O 0.972 0.212 0.384

(5)
# Ac2Pm3Pr8

Ac2Pm3Pr8 after structural relaxation (PBE, the Alexandria database).

Output
- E_form (meV per atom) = 255
- polymorph energy (0 for the lowest one) (kcal/mol of atoms) = 2.06
- E (eV per atom) = -4.414

abc: 13.259 13.259 13.259
angles: 29.65 29.65 29.65
Atoms (fractional coordinates):
Ac 0.140 0.140 0.140
Ac 0.860 0.860 0.860
Pm 0.312 0.312 0.312
Pm 0.500 0.500 0.500
Pm 0.688 0.688 0.688
Pr 0.220 0.220 0.722
Pr 0.220 0.722 0.220
Pr 0.227 0.227 0.227
Pr 0.278 0.780 0.780
Pr 0.722 0.220 0.220
Pr 0.773 0.773 0.773
Pr 0.780 0.278 0.780
Pr 0.780 0.780 0.278

(6)
# Er3InNi

Er3InNi after structural relaxation (PBE, the Alexandria database).

Output
- E_form (meV per atom) = -321
- polymorph energy (0 for the lowest one) (kcal/mol of atoms) = 0.00
- E (eV per atom) = -4.763

abc: 6.474 6.474 9.089
angles: 112.54 112.54 48.02
Atoms (fractional coordinates):
Er 0.112 0.112 0.238
Er 0.152 0.152 0.665
Er 0.382 0.382 0.087
Er 0.618 0.618 0.913
Er 0.848 0.848 0.335
Er 0.888 0.888 0.762
In 0.394 0.394 0.552
In 0.606 0.606 0.448
Ni 0.134 0.134 0.956
Ni 0.866 0.866 0.044

(7)
# SmYNpN3

SmYNpN3 after structural relaxation (PBE, the Alexandria database).

Output
- raw formation energy (kJ/mol of atoms) = -102.7
- E (eV per atom) = -9.248

abc: 7.156 3.593 8.710
angles: 90.00 97.42 90.00
Atoms (fractional coordinates):
Sm 0.163 0.250 0.131
Sm 0.837 0.750 0.869
Y 0.372 0.750 0.850
Y 0.628 0.250 0.150
Np 0.056 0.250 0.594
Np 0.944 0.750 0.406
N 0.101 0.250 0.850
N 0.222 0.750 0.592
N 0.391 0.750 0.121
N 0.609 0.250 0.879
N 0.778 0.250 0.408
N 0.899 0.750 0.150

(8)
# NbTeI3

NbTeI3 after structural relaxation (PBE, the Alexandria database).

Output
- raw formation energy (kJ/mol of atoms) = -43.2
- E (eV per atom) = -4.020

abc: 8.740 8.740 13.876
angles: 93.37 93.37 130.03
Atoms (fractional coordinates):
Nb 0.004 0.129 0.154
Nb 0.129 0.004 0.654
Nb 0.871 0.996 0.346
Nb 0.996 0.871 0.846
Te 0.015 0.638 0.701
Te 0.362 0.985 0.799
Te 0.638 0.015 0.201
Te 0.985 0.362 0.299
I 0.054 0.234 0.536
I 0.206 0.285 0.803
I 0.234 0.054 0.036
I 0.238 0.499 0.079
I 0.285 0.206 0.303
I 0.499 0.238 0.579
I 0.501 0.762 0.421
I 0.715 0.794 0.697
I 0.762 0.501 0.921
I 0.766 0.946 0.964
I 0.794 0.715 0.197
I 0.946 0.766 0.464

(9)
# La2InAs

La2InAs after structural relaxation (PBE, the Alexandria database).

Output
- E_form (meV per atom) = -762
- polymorph energy (0 for the lowest one) (kcal/mol of atoms) = 3.97
- E (eV per atom) = -5.072

abc: 4.522 4.522 6.345
angles: 90.00 90.00 90.00
Atoms (fractional coordinates):
La 0.000 0.000 0.000
La 0.500 0.500 0.500
In 0.000 0.000 0.500
As 0.500 0.500 0.000

(10)
# FeCoPt2

FeCoPt2 after structural relaxation (PBE, the Alexandria database).

Output
- E_form (meV per atom) = -77
- E (eV per atom) = -6.989

abc: 8.740 8.740 8.740
angles: 17.97 17.97 17.97
Atoms (fractional coordinates):
Fe 0.000 0.000 0.000
Co 0.739 0.739 0.739
Pt 0.251 0.251 0.251
Pt 0.489 0.489 0.489

(11)
# ErScGaIr

ErScGaIr after structural relaxation (PBE, the Alexandria database).

Output
- E_form (meV per atom) = -735
- polymorph energy (0 for the lowest one) (kcal/mol of atoms) = 0.00
- E (eV per atom) = -6.431

abc: 4.277 5.492 5.492
angles: 39.42 90.00 90.00
Atoms (fractional coordinates):
Er 0.000 0.000 0.000
Sc 0.500 0.713 0.713
Ga 0.500 0.423 0.423
Ir 0.000 0.276 0.276

(12)
# Ho3Pd2Pt

Ho3Pd2Pt after structural relaxation (PBE, the Alexandria database).

Output
- E_form (meV per atom) = -1028
- E (eV per atom) = -6.054

abc: 7.821 7.821 6.933
angles: 90.00 90.00 143.10
Atoms (fractional coordinates):
Ho 0.000 0.000 0.249
Ho 0.000 0.000 0.751
Ho 0.332 0.668 0.246
Ho 0.332 0.668 0.754
Ho 0.668 0.332 0.246
Ho 0.668 0.332 0.754
Pd 0.169 0.831 0.500
Pd 0.500 0.500 0.000
Pd 0.500 0.500 0.500
Pd 0.831 0.169 0.500
Pt 0.161 0.839 0.000
Pt 0.839 0.161 0.000

(13)
# K2CeHo2S6

K2CeHo2S6 after structural relaxation (PBE, the Alexandria database).

Output
- raw formation energy (kJ/mol of atoms) = -179.5
- E (eV per atom) = -5.684

abc: 6.972 6.972 7.860
angles: 98.53 98.53 120.01
Atoms (fractional coordinates):
K 0.168 0.832 0.000
K 0.832 0.168 0.000
Ce 0.000 0.000 0.500
Ho 0.334 0.666 0.500
Ho 0.666 0.334 0.500
S 0.063 0.398 0.695
S 0.266 0.266 0.305
S 0.398 0.063 0.695
S 0.602 0.937 0.305
S 0.734 0.734 0.695
S 0.937 0.602 0.305

(14)
# PdRh2O6

PdRh2O6 after structural relaxation (PBE, the Alexandria database).

Output
- raw formation energy (kJ/mol of atoms) = -48.6
- E (eV per atom) = -6.020

abc: 9.034 9.034 4.297
angles: 90.00 90.00 120.00
Atoms (fractional coordinates):
Pd 0.000 0.000 0.000
Pd 0.333 0.667 0.497
Pd 0.667 0.333 0.503
Rh 0.000 0.339 0.000
Rh 0.000 0.661 0.000
Rh 0.339 0.000 0.000
Rh 0.339 0.339 0.000
Rh 0.661 0.000 0.000
Rh 0.661 0.661 0.000
O 0.099 0.549 0.744
O 0.114 0.229 0.773
O 0.114 0.886 0.773
O 0.215 0.430 0.252
O 0.215 0.785 0.252
O 0.229 0.114 0.227
O 0.430 0.215 0.748
O 0.451 0.549 0.744
O 0.451 0.901 0.744
O 0.549 0.099 0.256
O 0.549 0.451 0.256
O 0.570 0.785 0.252
O 0.771 0.886 0.773
O 0.785 0.215 0.748
O 0.785 0.570 0.748
O 0.886 0.114 0.227
O 0.886 0.771 0.227
O 0.901 0.451 0.256

(15)
# Nb3ZnIn

Nb3ZnIn after structural relaxation (PBE, the Alexandria database).

Output
- E_form (meV per atom) = 1846
- polymorph energy (0 for the lowest one) (kcal/mol of atoms) = 21.63
- E (eV per atom) = -4.999

abc: 5.028 5.028 5.028
angles: 90.00 90.00 90.00
Atoms (fractional coordinates):
Nb 0.000 0.000 0.500
Nb 0.000 0.500 0.000
Nb 0.500 0.000 0.000
Zn 0.500 0.500 0.500
In 0.000 0.000 0.000

(16)
# Hf2Tl2Sb

Hf2Tl2Sb after structural relaxation (PBE, the Alexandria database).

Output
- raw formation energy (kJ/mol of atoms) = -2.7
- E (eV per atom) = -5.781

abc: 7.412 7.412 4.531
angles: 90.00 90.00 90.00
Atoms (fractional coordinates):
Hf 0.151 0.349 0.000
Hf 0.349 0.849 0.000
Hf 0.651 0.151 0.000
Hf 0.849 0.651 0.000
Tl 0.157 0.657 0.500
Tl 0.343 0.157 0.500
Tl 0.657 0.843 0.500
Tl 0.843 0.343 0.500
Sb 0.000 0.000 0.000
Sb 0.500 0.500 0.000

(17)
# Ce2In2Ge4Rh

Ce2In2Ge4Rh after structural relaxation (PBE, the Alexandria database).

Output
- E_form (meV per atom) = -464
- E (eV per atom) = -5.260

abc: 6.451 6.451 6.451
angles: 118.36 118.36 92.87
Atoms (fractional coordinates):
Ce 0.250 0.750 0.500
Ce 0.750 0.250 0.500
In 0.205 0.205 0.000
In 0.795 0.795 0.000
Ge 0.234 0.234 0.468
Ge 0.234 0.766 0.000
Ge 0.766 0.234 0.000
Ge 0.766 0.766 0.532
Rh 0.500 0.500 0.000

(18)
# YCd3Re

YCd3Re after structural relaxation (PBE, the Alexandria database).

Output
- E_form (meV per atom) = 713
- polymorph energy (0 for the lowest one) (kcal/mol of atoms) = 0.00
- E (eV per atom) = -3.618

abc: 5.146 5.146 5.146
angles: 90.00 90.00 90.00
Atoms (fractional coordinates):
Y 0.000 0.000 0.000
Cd 0.000 0.500 0.500
Cd 0.500 0.000 0.500
Cd 0.500 0.500 0.000
Re 0.500 0.500 0.500

(19)
# Al4Cu2Tc

Al4Cu2Tc after structural relaxation (PBE, the Alexandria database).

Output
- E_form (meV per atom) = -291
- E (eV per atom) = -5.081

abc: 5.191 5.191 5.191
angles: 114.43 114.43 99.95
Atoms (fractional coordinates):
Al 0.000 0.000 0.500
Al 0.000 0.500 0.000
Al 0.500 0.000 0.000
Al 0.500 0.500 0.500
Cu 0.000 0.500 0.500
Cu 0.500 0.000 0.500
Tc 0.000 0.000 0.000

(20)
# Ba2HS

Ba2HS after structural relaxation (PBE, the Alexandria database).

Output
- polymorph energy (0 for the lowest one) (kcal/mol of atoms) = 1.87
- E (eV per atom) = -3.876

abc: 7.778 7.778 7.778
angles: 32.59 32.59 32.59
Atoms (fractional coordinates):
Ba 0.000 0.000 0.000
Ba 0.177 0.177 0.177
H 0.596 0.596 0.596
S 0.419 0.419 0.419

(21)
# Th2Ga3SiIr4

Th2Ga3SiIr4 after structural relaxation (PBE, the Alexandria database).

Output
- raw formation energy (kJ/mol of atoms) = -78.0
- E (eV per atom) = -7.287

abc: 4.304 4.304 10.023
angles: 90.00 90.00 90.00
Atoms (fractional coordinates):
Th 0.000 0.500 0.248
Th 0.500 0.000 0.752
Ga 0.000 0.500 0.870
Ga 0.500 0.000 0.130
Ga 0.500 0.500 0.500
Si 0.000 0.000 0.500
Ir 0.000 0.000 0.000
Ir 0.000 0.500 0.624
Ir 0.500 0.000 0.376
Ir 0.500 0.500 0.000

(22)
# Sr3TeSe

Sr3TeSe after structural relaxation (PBE, the Alexandria database).

Output
- polymorph energy (0 for the lowest one) (kcal/mol of atoms) = 0.00
- raw formation energy (kJ/mol of atoms) = -95.5
- E (eV per atom) = -3.325

abc: 5.882 5.882 5.882
angles: 90.00 90.00 90.00
Atoms (fractional coordinates):
Sr 0.000 0.000 0.500
Sr 0.000 0.500 0.000
Sr 0.500 0.000 0.000
Te 0.500 0.500 0.500
Se 0.000 0.000 0.000